First-principles (PBE) data for an optimized crystal structure of CaAc3Ru, as listed in Alexandria via LeMat-Bulk.

Computed properties:
E_form = -0.683 eV/f.u.
total magnetic moment = 0.0 μB per cell
mass density = 6.80 g cm⁻³
SG = No. 221

Cell: 5.855 5.855 5.855 Å, 90.00 90.00 90.00°
Fractional positions:
Ac (0.000, 0.500, 0.000)
Ac (0.500, 0.000, 0.000)
Ac (0.000, 0.000, 0.500)
Ca (0.500, 0.500, 0.500)
Ru (0.000, 0.000, 0.000)